The following is a GGA-PBE calculation of a relaxed Sr2SbAs crystal, from Alexandria.

The structure in extended XYZ format:
```
4
Lattice="-2.2727 -5.4808 2.5241 2.1173 -5.9284 1.3948 1.2525 0.6189 4.6237" Properties=species:S:1:pos:R:3 pbc="T T T"
Sb 0.0595 -3.1903 1.4961
Sr 0.1562 0.0541 0.5857
Sr 0.6640 -8.0562 5.7749
As 0.7660 -4.9932 4.9571
```

Formation energy (no corrections) (eV/atom): -0.918
Space group: Cm, No. 8
Total energy (eV per atom): -3.952